DFT (PBE with a Hubbard U) results for a relaxed structure of CaSc4NiO8.

Results
* magnetic moment: 2.0 μB per formula unit
* calculated total energy: -8.030 eV per atom
* crystal system: trigonal

Cell lengths 6.377, 6.377, 6.292 Å; angles 59.55, 59.55, 60.00 degrees
Site moments in Bohr magnetons follow the coordinates.
Element x y z (fractional)
Ca: 0.377 0.377 0.868  0.00
Sc: 0.623 0.623 0.130  0.01
Sc: 0.002 0.492 0.503  0.00
Sc: 0.492 0.002 0.503  0.00
Sc: 0.002 0.002 0.503  0.00
Ni: 0.002 0.002 0.994  1.76
O: 0.236 0.799 0.730  0.04
O: 0.799 0.236 0.730  0.04
O: 0.236 0.236 0.730  0.04
O: 0.235 0.235 0.296  0.00
O: 0.754 0.231 0.261  0.03
O: 0.231 0.754 0.261  0.03
O: 0.754 0.754 0.261  0.03
O: 0.757 0.757 0.729  0.00